Entry 1:
A relaxed PmYPd4 crystal. Source: the Alexandria database, functional GGA-PBE.

Values from the calculation:
The value obtained for the density of states at the Fermi level is 6.294 states/eV/cell. The energy relative to the elements comes out at -0.840 eV per atom.

a = 4.2369 Å, b = 19.4901 Å, c = 5.8755 Å
α = 90.00°, β = 90.00°, γ = 90.00°
Last column: nearest neighbours and their distance in Å.
Space group Cmcm (No. 63)
Asymmetric unit:
Pm 0.0000 0.0792 0.2500  11 Pd 2.94-3.00
Y 0.0000 0.2254 0.7500  7 Pd 2.91-2.94
Pd 0.0000 0.0746 0.7500  8 Pd 2.91-2.96, 1 Y 2.94, 3 Pm 2.94-3.00
Pd 0.0000 0.3514 0.0155  4 Pd 2.76-2.91, 3 Y 2.91-2.94, 2 Pm 2.96
Pd 0.0000 0.5000 0.0000  8 Pd 2.90-2.96, 4 Pm 3.00

Entry 2:
A relaxed VNiPt14 crystal. Source: the Alexandria database, functional GGA-PBE.

Values from the calculation:
The value obtained for the density of states at the Fermi level is 23.911 states/eV/cell. The energy relative to the elements comes out at -0.161 eV per atom.

a = 5.5986 Å, b = 5.5986 Å, c = 7.7897 Å
α = 90.00°, β = 90.00°, γ = 90.00°
Last column: nearest neighbours and their distance in Å.
Space group P4/mmm (No. 123)
Asymmetric unit:
V 0.0000 0.0000 0.0000  12 Pt 2.72-2.80
Ni 0.5000 0.5000 0.0000  12 Pt 2.73-2.80
Pt 0.0000 0.0000 0.5000  12 Pt 2.80-2.83
Pt 0.0000 0.5000 0.0000  8 Pt 2.72, 2 Ni 2.80, 2 V 2.80
Pt 0.0000 0.5000 0.5000  12 Pt 2.80-2.83
Pt 0.2490 0.2490 0.2399  1 V 2.72, 10 Pt 2.72-2.84, 1 Ni 2.73
Pt 0.5000 0.5000 0.5000  12 Pt 2.80-2.84

Entry 3:
A relaxed Li2TeRuO6 crystal. Source: the Alexandria database, functional GGA-PBE.

Values from the calculation:
The value obtained for the density of states at the Fermi level is 0.421 states/eV/cell. Its uncorrected formation energy is -1.157 eV per atom.

a = 5.4806 Å, b = 5.4806 Å, c = 4.9508 Å
α = 90.00°, β = 90.00°, γ = 90.00°
Last column: nearest neighbours and their distance in Å.
Space group P4mm (No. 99)
Asymmetric unit:
Li 0.0000 0.5000 0.0000  4 O 2.06
Te 0.0000 0.0000 0.7478  1 O 1.83
Ru 0.5000 0.5000 0.7149  1 O 1.69
O 0.0000 0.0000 0.3777  1 Te 1.83
O 0.2646 0.2646 0.8579  1 Ru 1.96, 2 Li 2.06, 1 Te 2.12
O 0.5000 0.5000 0.3731  1 Ru 1.69

Entry 4:
A relaxed GeSbSI2 crystal. Source: the Alexandria database, functional GGA-PBE.

Values from the calculation:
The value obtained for the density of states at the Fermi level is 4.681 states/eV/cell. Its uncorrected formation energy is 0.663 eV per atom.

a = 5.5611 Å, b = 5.5611 Å, c = 5.2521 Å
α = 90.00°, β = 90.00°, γ = 90.00°
Last column: nearest neighbours and their distance in Å.
Space group P4/mmm (No. 123)
Asymmetric unit:
Ge 0.0000 0.0000 0.0000  8 I 3.82, 4 Sb 3.93
Sb 0.5000 0.5000 0.0000  2 S 2.63
S 0.5000 0.5000 0.5000  2 Sb 2.63, 4 I 2.78
I 0.0000 0.5000 0.5000  2 S 2.78

Entry 5:
A relaxed HoLuInTc crystal. Source: the Alexandria database, functional GGA-PBE.

Values from the calculation:
The value obtained for the density of states at the Fermi level is 11.315 states/eV/cell. The energy relative to the elements comes out at -0.184 eV per atom.

a = 7.0878 Å, b = 7.0878 Å, c = 7.0878 Å
α = 90.00°, β = 90.00°, γ = 90.00°
Last column: nearest neighbours and their distance in Å.
Space group F-43m (No. 216)
Asymmetric unit:
Ho 0.0000 0.0000 0.0000  4 In 3.07, 4 Tc 3.07
Lu 0.0000 0.0000 0.5000  4 In 3.07, 4 Tc 3.07
In 0.2500 0.2500 0.7500  4 Ho 3.07, 4 Lu 3.07
Tc 0.2500 0.2500 0.2500  4 Lu 3.07, 4 Ho 3.07

Entry 6:
A relaxed Ca2SbI crystal. Source: the Alexandria database, functional GGA-PBE.

Values from the calculation:
The value obtained for the density of states at the Fermi level is 0.000 states/eV/cell. Its uncorrected formation energy is -0.969 eV per atom.

a = 7.0102 Å, b = 7.0102 Å, c = 15.2057 Å
α = 90.00°, β = 90.00°, γ = 90.00°
Last column: nearest neighbours and their distance in Å.
Space group I-42d (No. 122)
Asymmetric unit:
Ca 0.2164 0.2500 0.1250  2 Sb 3.00, 2 I 3.26
Sb 0.0000 0.0000 0.0000  4 Ca 3.00
I 0.0000 0.0000 0.5000  4 Ca 3.26

Entry 7:
A relaxed KSc2Ir crystal. Source: the Alexandria database, functional GGA-PBE.

Values from the calculation:
The value obtained for the density of states at the Fermi level is 11.914 states/eV/cell. The energy relative to the elements comes out at 0.396 eV per atom.

a = 6.8366 Å, b = 6.8438 Å, c = 3.6683 Å
α = 90.00°, β = 90.00°, γ = 90.00°
Last column: nearest neighbours and their distance in Å.
Space group Cmmm (No. 65)
Asymmetric unit:
K 0.0000 0.0000 0.0000  8 Sc 3.04
Sc 0.2500 0.2500 0.5000  4 K 3.04, 4 Ir 3.04
Ir 0.0000 0.5000 0.0000  8 Sc 3.04

Entry 8:
A relaxed Hf3CdC crystal. Source: the Alexandria database, functional GGA-PBE.

Values from the calculation:
The value obtained for the density of states at the Fermi level is 44.581 states/eV/cell. The energy relative to the elements comes out at -0.031 eV per atom.

a = 21.5199 Å, b = 6.3539 Å, c = 5.7116 Å
α = 90.00°, β = 105.00°, γ = 90.00°
Last column: nearest neighbours and their distance in Å.
Space group C2/c (No. 15)
Asymmetric unit:
Hf 0.0652 0.0983 0.1167  2 C 2.22-2.36
Hf 0.0667 0.3834 0.5332  2 C 2.12-2.37
Hf 0.1927 0.1228 0.8509  6 Cd 3.03-3.30, 5 Hf 3.07-3.29
Cd 0.1886 0.3725 0.3402  9 Hf 3.03-3.30, 3 Cd 3.20-3.28
C 0.0000 0.1492 0.7500  1 C 1.51
C 0.0000 0.3873 0.7500  1 C 1.51

Entry 9:
A relaxed Rb2Cd3F8 crystal. Source: the Alexandria database, functional GGA-PBE.

Values from the calculation:
The value obtained for the density of states at the Fermi level is 0.000 states/eV/cell. Its uncorrected formation energy is -2.387 eV per atom.

a = 13.2505 Å, b = 7.0948 Å, c = 6.0089 Å
α = 90.00°, β = 110.28°, γ = 90.00°
Last column: nearest neighbours and their distance in Å.
Space group C2/m (No. 12)
Asymmetric unit:
Rb 0.2203 0.0000 0.1681  6 F 2.76-2.97
Cd 0.0000 0.2414 0.5000  6 F 2.25-2.36
Cd 0.0000 0.5000 0.0000  6 F 2.25-2.33
F 0.0908 0.5000 0.4079  3 Cd 2.33-2.36
F 0.0976 0.2857 0.8873  2 Cd 2.25-2.26
F 0.1048 0.0000 0.4718  2 Cd 2.25

Entry 10:
A relaxed Li2Sc2Bi crystal. Source: the Alexandria database, functional GGA-PBE.

Values from the calculation:
The value obtained for the density of states at the Fermi level is 11.562 states/eV/cell. The energy relative to the elements comes out at 0.033 eV per atom.

a = 3.8201 Å, b = 3.8201 Å, c = 17.1193 Å
α = 90.00°, β = 90.00°, γ = 90.00°
Last column: nearest neighbours and their distance in Å.
Space group I4/mmm (No. 139)
Asymmetric unit:
Li 0.0000 0.5000 0.2500  4 Li 2.70
Sc 0.0000 0.0000 0.0902  1 Sc 3.09, 4 Bi 3.11, 4 Li 3.34
Bi 0.0000 0.0000 0.5000  8 Sc 3.11

Entry 11:
A relaxed SnGe2Ir crystal. Source: the Alexandria database, functional GGA-PBE.

Values from the calculation:
The value obtained for the density of states at the Fermi level is 5.974 states/eV/cell. The energy relative to the elements comes out at 0.026 eV per atom.

a = 3.4914 Å, b = 3.4914 Å, c = 25.2777 Å
α = 90.00°, β = 90.00°, γ = 120.00°
Last column: nearest neighbours and their distance in Å.
Space group R-3m (No. 166, hexagonal axes)
Asymmetric unit:
Sn 0.0000 0.0000 0.0000  2 Ge 2.75
Ge 0.0000 0.0000 0.1088  3 Ir 2.49, 1 Sn 2.75
Ir 0.0000 0.0000 0.5000  6 Ge 2.49

Entry 12:
A relaxed Dy5PS5 crystal. Source: the Alexandria database, functional GGA-PBE.

Values from the calculation:
The value obtained for the density of states at the Fermi level is 6.263 states/eV/cell. Its uncorrected formation energy is -2.017 eV per atom.

a = 12.4241 Å, b = 5.5428 Å, c = 7.8498 Å
α = 90.00°, β = 108.47°, γ = 90.00°
Last column: nearest neighbours and their distance in Å.
Space group C2/m (No. 12)
Asymmetric unit:
Dy 0.0000 0.0000 0.0000  2 P 2.77, 4 S 2.79
Dy 0.1597 0.5000 0.8266  5 S 2.70-2.79, 1 P 2.74
Dy 0.1640 0.5000 0.3342  5 S 2.74-2.80, 1 P 2.77
P 0.0000 0.5000 0.0000  6 Dy 2.74-2.77
S 0.0000 0.5000 0.5000  4 Dy 2.70-2.74
S 0.1695 0.0000 0.3323  5 Dy 2.77-2.79
S 0.1712 0.0000 0.8394  5 Dy 2.78-2.80

Entry 13:
A relaxed CsTl3Pb2 crystal. Source: the Alexandria database, functional GGA-PBE.

Values from the calculation:
The value obtained for the density of states at the Fermi level is 10.631 states/eV/cell. The energy relative to the elements comes out at -0.053 eV per atom.

a = 12.7472 Å, b = 10.9150 Å, c = 6.8118 Å
α = 90.00°, β = 90.00°, γ = 90.00°
Last column: nearest neighbours and their distance in Å.
Space group Cmcm (No. 63)
Asymmetric unit:
Cs 0.0000 0.1864 0.2500  9 Tl 4.11-4.36, 4 Pb 4.47
Tl 0.0000 0.4364 0.7500  2 Tl 3.22, 4 Pb 3.33
Tl 0.1774 0.2270 0.7500  1 Tl 3.22, 4 Pb 3.29-3.47
Pb 0.2176 0.5000 0.0000  6 Tl 3.29-3.47, 2 Pb 3.41

Entry 14:
A relaxed NaPu4 crystal. Source: the Alexandria database, functional GGA-PBE.

Values from the calculation:
The value obtained for the density of states at the Fermi level is 45.406 states/eV/cell. The energy relative to the elements comes out at 1.304 eV per atom.

a = 5.5273 Å, b = 5.5273 Å, c = 5.5273 Å
α = 90.00°, β = 90.00°, γ = 90.00°
Last column: nearest neighbours and their distance in Å.
Space group Pm-3m (No. 221)
Asymmetric unit:
Na 0.0000 0.0000 0.0000  6 Pu 2.76
Pu 0.0000 0.0000 0.5000  2 Na 2.76
Pu 0.5000 0.5000 0.5000  12 Pu 3.91

Entry 15:
A relaxed TlPRuCl2 crystal. Source: the Alexandria database, functional GGA-PBE.

Values from the calculation:
The value obtained for the density of states at the Fermi level is 2.567 states/eV/cell. Its uncorrected formation energy is 1.104 eV per atom.

a = 5.3287 Å, b = 5.3287 Å, c = 5.2226 Å
α = 90.00°, β = 90.00°, γ = 90.00°
Last column: nearest neighbours and their distance in Å.
Space group P4/mmm (No. 123)
Asymmetric unit:
Tl 0.0000 0.0000 0.0000  2 P 2.61, 4 Cl 2.66
P 0.0000 0.0000 0.5000  2 Tl 2.61
Ru 0.5000 0.5000 0.5000  8 Cl 3.73, 4 P 3.77
Cl 0.0000 0.5000 0.0000  2 Tl 2.66

Entry 16:
A relaxed K2LiIr crystal. Source: the Alexandria database, functional GGA-PBE.

Values from the calculation:
The value obtained for the density of states at the Fermi level is 3.757 states/eV/cell. The energy relative to the elements comes out at 0.452 eV per atom.

a = 9.0107 Å, b = 2.8385 Å, c = 9.4546 Å
α = 90.00°, β = 92.34°, γ = 90.00°
Last column: nearest neighbours and their distance in Å.
Space group Cm (No. 8)
Asymmetric unit:
K 0.0000 0.0000 0.0000  2 K 2.84
K 0.2319 0.0000 0.5565  2 K 2.84
Li 0.4755 0.0000 0.3064  3 Ir 2.50-2.60
Ir 0.2413 0.5000 0.2410  3 Li 2.50-2.60

Entry 17:
A relaxed Np3W5N12 crystal. Source: the Alexandria database, functional GGA-PBE.

Values from the calculation:
The value obtained for the density of states at the Fermi level is 254.221 states/eV/cell. Its uncorrected formation energy is -0.611 eV per atom.

a = 12.7711 Å, b = 12.7711 Å, c = 12.7711 Å
α = 90.00°, β = 90.00°, γ = 90.00°
Last column: nearest neighbours and their distance in Å.
Space group Ia-3d (No. 230)
Asymmetric unit:
Np 0.0000 0.2500 0.1250  8 N 2.46-2.55
W 0.0000 0.0000 0.0000  6 N 2.07
W 0.0000 0.2500 0.3750  4 N 1.89
N 0.0303 0.0541 0.6497  2 W 1.89-2.07

Entry 18:
A relaxed BeZnBr2 crystal. Source: the Alexandria database, functional GGA-PBE.

Values from the calculation:
Its uncorrected formation energy is -0.258 eV per atom.

a = 3.2866 Å, b = 7.3982 Å, c = 10.7373 Å
α = 90.00°, β = 90.00°, γ = 90.00°
Last column: nearest neighbours and their distance in Å.
Space group Immm (No. 71)
Asymmetric unit:
Be 0.0000 0.0000 0.0000  4 Br 2.28
Zn 0.0000 0.0000 0.5000  2 Zn 3.29
Br 0.0000 0.5000 0.3524  2 Be 2.28

Entry 19:
A relaxed SnOs3C crystal. Source: the Alexandria database, functional GGA-PBE.

Values from the calculation:
The value obtained for the density of states at the Fermi level is 1.245 states/eV/cell. The energy relative to the elements comes out at 0.566 eV per atom.

a = 4.1321 Å, b = 4.1321 Å, c = 4.1321 Å
α = 90.00°, β = 90.00°, γ = 90.00°
Last column: nearest neighbours and their distance in Å.
Space group Pm-3m (No. 221)
Asymmetric unit:
Sn 0.0000 0.0000 0.0000  12 Os 2.92
Os 0.0000 0.5000 0.5000  2 C 2.07
C 0.5000 0.5000 0.5000  6 Os 2.07

Entry 20:
A relaxed Tb6SmSc6 crystal. Source: the Alexandria database, functional GGA-PBE.

Values from the calculation:
The value obtained for the density of states at the Fermi level is 23.063 states/eV/cell. The energy relative to the elements comes out at 0.201 eV per atom.

a = 6.3255 Å, b = 10.6891 Å, c = 6.3284 Å
α = 90.00°, β = 115.95°, γ = 90.00°
Last column: nearest neighbours and their distance in Å.
Space group P2/m (No. 10)
Asymmetric unit:
Tb 0.0000 0.1659 0.0000  6 Sc 3.36-3.39, 3 Tb 3.53-3.55, 1 Sm 3.57
Tb 0.2852 0.0000 0.7152  6 Sc 3.24-3.38, 4 Tb 3.44-3.53
Tb 0.3511 0.5000 0.6467  6 Sc 3.15-3.45, 1 Tb 3.17
Sm 0.0000 0.5000 0.0000  8 Tb 3.57-3.78, 8 Sc 3.99-4.00
Sc 0.0000 0.2716 0.5000  6 Tb 3.15-3.37, 4 Sc 3.22-3.36
Sc 0.5000 0.2130 0.5000  4 Sc 3.22-3.23, 6 Tb 3.24-3.45
Sc 0.5000 0.2724 0.0000  6 Tb 3.16-3.38, 4 Sc 3.23-3.36